No. 1
First-principles (GGA-PBE) data for an optimized crystal structure of TbHPd6, as listed in Alexandria.

As for the raw total energy: -41.45 eV per cell.

The structure in POSCAR format:
```
TbHPd6
1.0
2.755 1.591 4.896
-2.755 1.591 4.896
0.000 -3.181 4.896
Tb H Pd
1 1 6
direct
0.000 0.000 0.000 Tb
0.500 0.500 0.500 H
0.082 0.594 0.594 Pd
0.406 0.406 0.918 Pd
0.406 0.918 0.406 Pd
0.594 0.082 0.594 Pd
0.594 0.594 0.082 Pd
0.918 0.406 0.406 Pd
```

No. 2
First-principles (GGA-PBE) data for an optimized crystal structure of Tb2Pr2Ho, as listed in Alexandria.

The value obtained for the energy of formation is 0.14 eV/atom.

The structure in POSCAR format:
```
Tb2Pr2Ho
1.0
-1.833 2.887 16.028
1.833 -2.887 16.028
1.833 2.887 -16.028
Tb Pr Ho
4 4 2
direct
0.041 0.291 0.750 Tb
0.446 0.196 0.250 Tb
0.554 0.804 0.750 Tb
0.959 0.709 0.250 Tb
0.129 0.879 0.250 Pr
0.228 0.978 0.250 Pr
0.772 0.022 0.750 Pr
0.871 0.121 0.750 Pr
0.331 0.581 0.750 Ho
0.669 0.419 0.250 Ho
```

No. 3
First-principles (GGA-PBE) data for an optimized crystal structure of HfBeCo2, as listed in Alexandria.

The value obtained for the energy of formation is 0.04 eV/atom.

The structure in POSCAR format:
```
HfBeCo2
1.0
4.565 0.000 0.000
0.000 4.297 0.000
0.000 0.000 11.024
Hf Be Co
4 4 8
direct
0.250 0.000 0.094 Hf
0.250 0.500 0.308 Hf
0.750 0.000 0.906 Hf
0.750 0.500 0.692 Hf
0.250 0.000 0.663 Be
0.250 0.500 0.549 Be
0.750 0.000 0.337 Be
0.750 0.500 0.451 Be
0.000 0.000 0.500 Co
0.000 0.500 0.000 Co
0.250 0.251 0.829 Co
0.250 0.749 0.829 Co
0.500 0.000 0.500 Co
0.500 0.500 0.000 Co
0.750 0.251 0.171 Co
0.750 0.749 0.171 Co
```

No. 4
First-principles (GGA-PBE) data for an optimized crystal structure of BeInPO2, as listed in Alexandria.

As for the raw total energy: -19.60 eV per cell.

The structure in POSCAR format:
```
BeInPO2
1.0
3.950 0.000 0.000
0.000 3.950 0.000
0.000 0.000 5.477
Be In P O
1 1 1 2
direct
0.000 0.000 0.000 Be
0.500 0.500 0.500 In
0.500 0.500 0.000 P
0.000 0.500 0.500 O
0.500 0.000 0.500 O
```

No. 5
First-principles (GGA-PBE) data for an optimized crystal structure of CsAlNF2, as listed in Alexandria.

As for the raw total energy: -15.73 eV per cell.

The structure in POSCAR format:
```
CsAlNF2
1.0
5.321 0.000 0.000
0.000 5.321 0.000
0.000 0.000 4.766
Cs Al N F
1 1 1 2
direct
0.000 0.000 0.000 Cs
0.500 0.500 0.500 Al
0.000 0.000 0.500 N
0.000 0.500 0.000 F
0.500 0.000 0.000 F
```

No. 6
First-principles (GGA-PBE) data for an optimized crystal structure of K2RbNa2Bi2, as listed in Alexandria.

The value obtained for the energy of formation is -0.31 eV/atom.

The structure in POSCAR format:
```
K2RbNa2Bi2
1.0
2.905 1.677 8.709
-2.905 1.677 8.709
0.000 -3.354 8.709
K Rb Na Bi
2 1 2 2
direct
0.145 0.145 0.145 K
0.855 0.855 0.855 K
0.000 0.000 0.000 Rb
0.284 0.284 0.284 Na
0.716 0.716 0.716 Na
0.420 0.420 0.420 Bi
0.580 0.580 0.580 Bi
```

No. 7
First-principles (GGA-PBE) data for an optimized crystal structure of PmNdMgPd, as listed in Alexandria.

The value obtained for the energy of formation is -0.33 eV/atom.

The structure in POSCAR format:
```
PmNdMgPd
1.0
7.472 0.000 0.000
0.000 7.472 0.000
0.000 0.000 7.472
Pm Nd Mg Pd
4 4 4 4
direct
0.000 0.000 0.000 Pm
0.000 0.500 0.500 Pm
0.500 0.000 0.500 Pm
0.500 0.500 0.000 Pm
0.000 0.000 0.500 Nd
0.000 0.500 0.000 Nd
0.500 0.000 0.000 Nd
0.500 0.500 0.500 Nd
0.250 0.250 0.750 Mg
0.250 0.750 0.250 Mg
0.750 0.250 0.250 Mg
0.750 0.750 0.750 Mg
0.250 0.250 0.250 Pd
0.250 0.750 0.750 Pd
0.750 0.250 0.750 Pd
0.750 0.750 0.250 Pd
```

No. 8
First-principles (GGA-PBE) data for an optimized crystal structure of La2ThC2I2, as listed in Alexandria.

As for the raw total energy: -85.39 eV per cell.

The structure in POSCAR format:
```
La2ThC2I2
1.0
4.766 0.000 0.000
0.000 4.766 0.000
0.000 0.000 17.659
La Th C I
4 2 4 4
direct
0.000 0.000 0.089 La
0.000 0.000 0.911 La
0.500 0.500 0.411 La
0.500 0.500 0.589 La
0.000 0.000 0.500 Th
0.500 0.500 0.000 Th
0.000 0.500 0.000 C
0.000 0.500 0.500 C
0.500 0.000 0.000 C
0.500 0.000 0.500 C
0.000 0.000 0.315 I
0.000 0.000 0.685 I
0.500 0.500 0.185 I
0.500 0.500 0.815 I
```

What did the second record say?
First-principles (GGA-PBE) data for an optimized crystal structure of Tb2Pr2Ho, as listed in Alexandria.

The value obtained for the energy of formation is 0.14 eV/atom.

The structure in POSCAR format:
```
Tb2Pr2Ho
1.0
-1.833 2.887 16.028
1.833 -2.887 16.028
1.833 2.887 -16.028
Tb Pr Ho
4 4 2
direct
0.041 0.291 0.750 Tb
0.446 0.196 0.250 Tb
0.554 0.804 0.750 Tb
0.959 0.709 0.250 Tb
0.129 0.879 0.250 Pr
0.228 0.978 0.250 Pr
0.772 0.022 0.750 Pr
0.871 0.121 0.750 Pr
0.331 0.581 0.750 Ho
0.669 0.419 0.250 Ho
```